Here is a crystal of MgTaNi2H relaxed with PBEsol from Alexandria. Energies are from meta-GGA SCAN.

The structure belongs to space group P4/mmm (No. 123); the cell edges are 4.5877, 4.5877 and 3.0399 Å and the angles 90.00°, 90.00° and 90.00°. The distinct sites, in fractional coordinates, are Mg at (0.0000, 0.0000, 0.0000), Ta at (0.5000, 0.5000, 0.5000), Ni at (0.0000, 0.5000, 0.0000) and H at (0.0000, 0.0000, 0.5000).

The density of states at the Fermi level is 2.71 states/eV per cell. The total energy comes out at -20.65 eV per atom.